# Er3ThCo2 (PBE-GGA, optimized geometry)
# Spin magnetization   0.0 μB/cell
# E_form   -0.20 eV/atom
# DFT total energy   -6.084 eV/atom
# Mass density   9.8 Mg/m³
# Fermi-level density of states   28.369 states/eV/cell
data_Er3ThCo2
_cell_length_a 16.314
_cell_length_b 3.752
_cell_length_c 11.479
_cell_angle_alpha 90.00
_cell_angle_beta 124.44
_cell_angle_gamma 90.00
_symmetry_space_group_name_H-M 'C 1 2/m 1'
_symmetry_Int_Tables_number 12
_symmetry_space_group_name_Hall '-C 2y'
loop_
_atom_site_label
_atom_site_fract_x
_atom_site_fract_y
_atom_site_fract_z
Er1 0.083 0.000 0.439
Er2 0.083 0.000 0.945
Er3 0.154 0.500 0.250
Th1 0.161 0.500 0.754
Co1 0.233 0.500 0.552
Co2 0.236 0.500 0.065